1.
DFT (PBE) results for LiMg2TlSe after structural relaxation.

a b c (Å): 5.2668 6.0665 5.2668
angles (deg): 90.00 90.00 90.00
Fractional positions:
Mg: 0.5000 0.0000 0.0000
Mg: 0.0000 0.0000 0.5000
Se: 0.0000 0.5000 0.0000
Tl: 0.0000 0.0000 0.0000
Li: 0.5000 0.5000 0.5000

Computed properties:
mass density: 3.3 Mg/m³
E_form (uncorrected): 116 kJ/mol of formula units
energy: -1.95 eV per atom



2.
DFT (PBE) results for BeP4 after structural relaxation.

a b c (Å): 4.8314 4.8314 4.8314
angles (deg): 120.59 120.59 88.98
Fractional positions:
P: 0.7022 0.7022 0.0000
P: 0.2978 0.2978 0.0000
P: 0.2500 0.7500 0.5000
P: 0.7500 0.2500 0.5000
Be: 0.0000 0.0000 0.0000

Computed properties:
mass density: 2.8 Mg/m³
E above lowest polymorph: 0.0 meV per atom
energy: -4.66 eV per atom